Record 1
Computed, not measured: a relaxed NaSn2Au crystal at the GGA-PBE level of DFT.

Results
**Space group**: P4/mmm
**Crystal system**: tetragonal
**DFT formation energy**: -0.14 eV per atom

POSCAR file:
```
NaSn2Au
1.0
3.703 0.000 0.000
0.000 3.703 0.000
0.000 0.000 7.340
Au Sn Na
1 2 1
Direct
0.500 0.500 0.000
0.000 0.000 0.204
0.000 0.000 0.796
0.500 0.500 0.500
```


Record 2
Computed, not measured: a relaxed TcHOsAuN crystal at the GGA-PBE level of DFT.

Results
**E above lowest polymorph**: 218 meV/atom
**Space group**: P1
**Crystal system**: triclinic

POSCAR file:
```
TcHOsAuN
1.0
2.806 -0.012 -0.019
-0.135 4.298 0.003
-0.768 -0.465 5.522
Au Os H N Tc
1 1 1 1 1
Direct
0.831 0.297 0.839
0.845 0.820 0.164
0.539 0.540 0.585
0.951 0.079 0.471
0.427 0.323 0.302
```


Record 3
Computed, not measured: a relaxed Pr2H2SI crystal at the GGA-PBE level of DFT.

Results
**Space group**: P-3m1
**Crystal system**: trigonal

POSCAR file:
```
Pr2H2SI
1.0
-0.684 -3.691 1.443
-0.658 0.793 -3.888
8.244 -2.253 -1.855
Pr I S H
2 1 1 2
Direct
0.667 0.333 0.299
0.333 0.667 0.701
0.000 0.000 0.000
0.000 0.000 0.500
0.667 0.333 0.738
0.333 0.667 0.262
```


Record 4
Computed, not measured: a relaxed TbHo5Tm crystal at the GGA-PBE level of DFT.

Results
**E above lowest polymorph**: 926 meV/atom
**Space group**: Imm2
**Crystal system**: orthorhombic
**DFT formation energy**: 0.99 eV per atom

POSCAR file:
```
TbHo5Tm
1.0
-2.641 -3.770 -3.974
3.992 -6.118 3.150
-5.015 4.039 4.155
Ho Tb Tm
5 1 1
Direct
0.433 0.821 0.000
0.433 0.179 0.000
0.679 0.744 0.488
0.170 0.500 0.000
0.191 0.256 0.512
0.933 0.000 0.000
0.692 0.500 0.000
```


Record 5
Computed, not measured: a relaxed Ba2TiTe4 crystal at the GGA-PBE level of DFT.

Results
**E_form (uncorrected)**: -1280.9 meV/atom
**Space group**: P2_1/m
**Crystal system**: monoclinic

POSCAR file:
```
Ba2TiTe4
1.0
-7.444 -1.591 1.095
1.230 -0.598 7.491
1.239 9.763 0.576
Te Ti Ba
8 2 4
Direct
0.115 0.750 0.929
0.920 0.250 0.629
0.484 0.990 0.730
0.080 0.750 0.371
0.516 0.010 0.270
0.885 0.250 0.071
0.516 0.490 0.270
0.484 0.510 0.730
0.284 0.750 0.204
0.716 0.250 0.796
0.716 0.750 0.045
0.223 0.250 0.424
0.284 0.250 0.955
0.777 0.750 0.576
```


Record 6
Computed, not measured: a relaxed CsTlTc2O6 crystal at the GGA-PBE level of DFT.

Results
**E_form (uncorrected)**: -1293.6 meV/atom
**Space group**: C2/c
**Crystal system**: monoclinic

POSCAR file:
```
CsTlTc2O6
1.0
8.434 -2.591 0.624
-3.604 8.053 0.624
-0.867 -0.980 7.658
Tc O Cs Tl
4 12 2 2
Direct
0.017 0.322 0.250
0.983 0.678 0.750
0.322 0.017 0.750
0.678 0.983 0.250
0.871 0.674 0.560
0.871 0.675 0.939
0.966 0.484 0.248
0.325 0.129 0.561
0.034 0.516 0.752
0.675 0.871 0.439
0.516 0.034 0.252
0.129 0.325 0.061
0.484 0.966 0.748
0.326 0.129 0.940
0.129 0.326 0.440
0.674 0.871 0.060
0.432 0.568 0.750
0.568 0.432 0.250
0.870 0.130 0.750
0.130 0.870 0.250
```


Raw total energy for every record listed, in sequence, given in eV per atom: -3.29, -6.76, -4.86, -3.58, -4.75, -6.66.